Entry 1:
# Tm3Cd2 GGA-PBE relaxed
# ΔH_f (0 K) ... -0.0534 eV per atom
# Excess energy over the best structure of this formula in the dataset ... 0.181 eV/atom
# DOS at the Fermi energy ... 32.32 states/eV per cell
data_Tm3Cd2
_cell_length_a 15.423
_cell_length_b 5.113
_cell_length_c 10.864
_cell_angle_alpha 90.00
_cell_angle_beta 90.59
_cell_angle_gamma 90.00
_symmetry_space_group_name_H-M 'C 1 2/m 1'
_symmetry_Int_Tables_number 12
loop_
_symmetry_equiv_pos_as_xyz
'x,y,z'
'-x,-y,-z'
'-x,y,-z'
'x,-y,z'
'x+1/2,y+1/2,z'
'-x+1/2,-y+1/2,-z'
'-x+1/2,y+1/2,-z'
'x+1/2,-y+1/2,z'
loop_
_atom_site_label
_atom_site_type_symbol
_atom_site_fract_x
_atom_site_fract_y
_atom_site_fract_z
Tm1 Tm 0.000 0.000 0.000
Tm2 Tm 0.005 0.000 0.662
Tm3 Tm 0.162 0.500 0.671
Tm4 Tm 0.167 0.500 0.333
Tm5 Tm 0.171 0.500 0.995
Cd1 Cd 0.003 0.500 0.164
Cd2 Cd 0.164 0.000 0.169
Cd3 Cd 0.169 0.000 0.497



Entry 2:
# Ta2PbSe GGA-PBE relaxed
# Uncorrected formation energy ... -66 meV per atom
# Excess energy over the best structure of this formula in the dataset ... 0.000 eV/atom
# DOS at the Fermi energy ... 1.06 states/eV per cell
data_Ta2PbSe
_cell_length_a 3.459
_cell_length_b 3.459
_cell_length_c 6.922
_cell_angle_alpha 90.00
_cell_angle_beta 90.00
_cell_angle_gamma 90.00
_symmetry_space_group_name_H-M 'P 4 m m'
_symmetry_Int_Tables_number 99
loop_
_symmetry_equiv_pos_as_xyz
'x,y,z'
'-y,x,z'
'-x,-y,z'
'y,-x,z'
'-x,y,z'
'y,x,z'
'x,-y,z'
'-y,-x,z'
loop_
_atom_site_label
_atom_site_type_symbol
_atom_site_fract_x
_atom_site_fract_y
_atom_site_fract_z
Ta1 Ta 0.000 0.000 0.000
Ta2 Ta 0.500 0.500 0.236
Pb1 Pb 0.000 0.000 0.492
Se1 Se 0.500 0.500 0.842



Entry 3:
# TbHg7 GGA-PBE relaxed
# ΔH_f (0 K) ... -0.1461 eV per atom
# Excess energy over the best structure of this formula in the dataset ... 0.000 eV/atom
# DOS at the Fermi energy ... 7.78 states/eV per cell
data_TbHg7
_cell_length_a 4.597
_cell_length_b 4.597
_cell_length_c 18.882
_cell_angle_alpha 90.00
_cell_angle_beta 90.00
_cell_angle_gamma 90.00
_symmetry_space_group_name_H-M 'I 4/m m m'
_symmetry_Int_Tables_number 139
_symmetry_space_group_name_Hall '-I 4 2'
loop_
_atom_site_label
_atom_site_type_symbol
_atom_site_fract_x
_atom_site_fract_y
_atom_site_fract_z
Tb1 Tb 0.000 0.000 0.000
Hg1 Hg 0.000 0.000 0.251
Hg2 Hg 0.000 0.000 0.500
Hg3 Hg 0.000 0.500 0.124